# 1
## La4Nd7Ho (PBE)

Data for a relaxed structure of La4Nd7Ho.

Values from the calculation:
**DOS(E_F)**: 21.082 states/eV/f.u.
**Relative energy among the computed polymorphs**: 0 meV/atom
**Magnetization**: 0.0 μB per formula unit
**Crystal system**: triclinic
**Space group**: P-1, No. 2
**E_form**: 0.02 eV/atom

Unit cell a=7.3679 b=9.7632 c=9.7660 alpha=69.15 beta=79.19 gamma=40.92
With the nearest neighbours (Å) after each atom.
Atoms (fractional coordinates):
1 La 0.4959 0.6690 0.3308  1 Ho 3.66, 8 Nd 3.66-3.73, 3 La 3.69-3.72
2 Nd 0.5000 0.0000 0.0000  6 Nd 3.67-3.71, 4 La 3.68-3.69, 2 Ho 3.68
3 Nd 0.0001 0.6676 0.3308  6 La 3.66-3.73, 5 Nd 3.66-3.73, 1 Ho 3.67
4 La 0.5041 0.3310 0.6692  1 Ho 3.66, 8 Nd 3.66-3.73, 3 La 3.69-3.72
5 Nd 0.9999 0.3324 0.6692  6 La 3.66-3.73, 5 Nd 3.66-3.73, 1 Ho 3.67
6 Nd 0.2510 0.5012 0.0005  7 Nd 3.65-3.72, 2 Ho 3.68-3.69, 3 La 3.69-3.70
7 Ho 0.0000 0.0000 0.0000  2 La 3.66, 10 Nd 3.67-3.69
8 La 0.2482 0.1674 0.3326  9 Nd 3.68-3.72, 3 La 3.69-3.71
9 Nd 0.2496 0.8336 0.6693  5 Nd 3.66-3.73, 6 La 3.67-3.73, 1 Ho 3.67
10 Nd 0.7490 0.4988 0.9995  7 Nd 3.65-3.72, 2 Ho 3.68-3.69, 3 La 3.69-3.70
11 Nd 0.7504 0.1664 0.3307  5 Nd 3.66-3.73, 6 La 3.67-3.73, 1 Ho 3.67
12 La 0.7518 0.8326 0.6674  9 Nd 3.68-3.72, 3 La 3.69-3.71

***

# 2
## La6NdHo2 (PBE)

Data for a relaxed structure of La6NdHo2.

Values from the calculation:
**DOS(E_F)**: 16.728 states/eV/f.u.
**Relative energy among the computed polymorphs**: 0 meV/atom
**Magnetization**: 0.0 μB per formula unit
**Crystal system**: hexagonal
**Space group**: P-6m2, No. 187
**E_form**: 0.06 eV/atom

Unit cell a=3.6705 b=3.6705 c=27.6808 alpha=90.00 beta=90.00 gamma=120.00
With the nearest neighbours (Å) after each atom.
Atoms (fractional coordinates):
1 La 0.6667 0.3333 0.1106  9 La 3.67-3.80, 3 Nd 3.72
2 La 0.3333 0.6667 0.7755  3 Ho 3.62, 9 La 3.67-3.80
3 Ho 0.6667 0.3333 0.6695  6 La 3.55-3.62, 6 Ho 3.67
4 Nd 0.3333 0.6667 0.0000  6 Nd 3.67, 6 La 3.72
5 La 0.6667 0.3333 0.8894  9 La 3.67-3.80, 3 Nd 3.72
6 La 0.3333 0.6667 0.2245  3 Ho 3.62, 9 La 3.67-3.80
7 La 0.3333 0.6667 0.5664  3 Ho 3.55, 7 La 3.67-3.68
8 Ho 0.6667 0.3333 0.3305  6 La 3.55-3.62, 6 Ho 3.67
9 La 0.3333 0.6667 0.4336  3 Ho 3.55, 7 La 3.67-3.68

***

# 3
## La2Nd3Ho2 (PBE)

Data for a relaxed structure of La2Nd3Ho2.

Values from the calculation:
**DOS(E_F)**: 9.827 states/eV/f.u.
**Relative energy among the computed polymorphs**: 0 meV/atom
**Magnetization**: 0.0 μB per formula unit
**Crystal system**: monoclinic
**Space group**: C2/m, No. 12
**E_form**: 0.01 eV/atom

Unit cell a=3.6698 b=10.9765 c=8.1564 alpha=94.20 beta=47.55 gamma=90.02
With the nearest neighbours (Å) after each atom.
Atoms (fractional coordinates):
1 Ho 0.7103 0.7117 0.8599  7 Nd 3.62-3.68, 3 La 3.64, 2 Ho 3.67
2 Nd 0.4251 0.4305 0.7169  5 Nd 3.59-3.67, 5 Ho 3.62-3.66, 2 La 3.66
3 Nd 0.0000 0.0000 0.0000  6 La 3.62-3.68, 2 Nd 3.67, 4 Ho 3.68
4 Ho 0.2897 0.2883 0.1401  7 Nd 3.62-3.68, 3 La 3.64, 2 Ho 3.67
5 La 0.1487 0.1454 0.5674  5 Nd 3.62-3.68, 3 Ho 3.64, 4 La 3.67-3.70
6 Nd 0.5749 0.5695 0.2831  5 Nd 3.59-3.67, 5 Ho 3.62-3.66, 2 La 3.66
7 La 0.8513 0.8546 0.4326  5 Nd 3.62-3.68, 3 Ho 3.64, 4 La 3.67-3.70

***

# 4
## La4Nd5Ho3 (PBE)

Data for a relaxed structure of La4Nd5Ho3.

Values from the calculation:
**DOS(E_F)**: 20.071 states/eV/f.u.
**Magnetization**: 0.0 μB per formula unit
**Crystal system**: monoclinic
**Space group**: C2/m, No. 12
**E_form**: 0.20 eV/atom

Unit cell a=6.0638 b=8.8271 c=9.8649 alpha=105.81 beta=72.10 gamma=69.91
With the nearest neighbours (Å) after each atom.
Atoms (fractional coordinates):
1 La 0.8415 0.9403 0.3767  3 Ho 3.41-3.56, 3 La 3.69-3.73, 3 Nd 3.75
2 La 0.1433 0.7729 0.9404  2 La 3.45-3.73, 6 Nd 3.49-3.83, 1 Ho 3.51
3 Nd 0.7817 0.5475 0.8890  4 Ho 3.28-3.59, 3 La 3.49-3.63
4 La 0.1585 0.0597 0.6233  3 Ho 3.41-3.56, 3 La 3.69-3.73, 3 Nd 3.75
5 Nd 0.5000 0.5000 0.5000  4 Ho 3.03-3.15
6 Nd 0.6296 0.9445 0.7963  2 Ho 3.35-3.56, 2 Nd 3.54-3.74
7 Nd 0.2183 0.4525 0.1110  4 Ho 3.28-3.59, 3 La 3.49-3.63
8 La 0.8567 0.2271 0.0596  2 La 3.45-3.73, 6 Nd 3.49-3.83, 1 Ho 3.51
9 Nd 0.3704 0.0555 0.2037  2 Ho 3.35-3.56, 2 Nd 3.54-3.74
10 Ho 0.4820 0.3087 0.7273  3 Nd 3.15-3.35, 2 La 3.41-3.51
11 Ho 0.0000 0.5000 0.5000  2 Nd 3.03
12 Ho 0.5180 0.6913 0.2727  3 Nd 3.15-3.35, 2 La 3.41-3.51

***

# 5
## La2Nd6Ho (PBE)

Data for a relaxed structure of La2Nd6Ho.

Values from the calculation:
**DOS(E_F)**: 15.978 states/eV/f.u.
**Relative energy among the computed polymorphs**: 43 meV/atom
**Magnetization**: 0.0 μB per formula unit
**Crystal system**: hexagonal
**Space group**: P-6m2, No. 187
**E_form**: 0.06 eV/atom

Unit cell a=3.6710 b=3.6710 c=27.4176 alpha=90.00 beta=90.00 gamma=120.00
With the nearest neighbours (Å) after each atom.
Atoms (fractional coordinates):
1 Nd 0.6667 0.3333 0.8946  3 Ho 3.58, 9 Nd 3.67
2 Nd 0.3333 0.6667 0.7854  9 Nd 3.67, 3 La 3.79
3 Ho 0.3333 0.6667 0.0000  6 Nd 3.58, 6 Ho 3.67
4 Nd 0.3333 0.6667 0.2146  9 Nd 3.67, 3 La 3.79
5 La 0.6667 0.3333 0.3291  6 Nd 3.66-3.79, 6 La 3.67
6 Nd 0.3333 0.6667 0.5621  7 Nd 3.41-3.67, 3 La 3.66
7 Nd 0.6667 0.3333 0.1054  3 Ho 3.58, 9 Nd 3.67
8 Nd 0.3333 0.6667 0.4379  7 Nd 3.41-3.67, 3 La 3.66
9 La 0.6667 0.3333 0.6709  6 Nd 3.66-3.79, 6 La 3.67

***

# 6
## LaNd7Ho12 (PBE)

Data for a relaxed structure of LaNd7Ho12.

Values from the calculation:
**DOS(E_F)**: 36.759 states/eV/f.u.
**Relative energy among the computed polymorphs**: 0 meV/atom
**Magnetization**: 0.0 μB per formula unit
**Crystal system**: trigonal
**Space group**: R-3, No. 148
**E_form**: 0.23 eV/atom

Unit cell a=8.7635 b=8.7635 c=8.7635 alpha=88.98 beta=88.98 gamma=88.98
With the nearest neighbours (Å) after each atom.
Atoms (fractional coordinates):
1 Nd 0.6397 0.1221 0.0012  4 Ho 3.25-3.50, 1 Nd 3.28, 1 La 3.32
2 Nd 0.5000 0.5000 0.5000  12 Ho 3.49-3.69
3 Ho 0.4447 0.1159 0.3466  3 Nd 3.45-3.81, 6 Ho 3.48-3.79
4 Nd 0.9988 0.3603 0.8779  4 Ho 3.25-3.50, 1 Nd 3.28, 1 La 3.32
5 Nd 0.0012 0.6397 0.1221  4 Ho 3.25-3.50, 1 Nd 3.28, 1 La 3.32
6 Ho 0.2398 0.7770 0.3688  4 Nd 3.25-3.50, 1 Ho 3.50
7 Ho 0.3466 0.4447 0.1159  3 Nd 3.45-3.81, 6 Ho 3.48-3.79
8 Ho 0.7770 0.3688 0.2398  4 Nd 3.25-3.50, 1 Ho 3.50
9 La 0.0000 0.0000 0.0000  6 Nd 3.32
10 Ho 0.2230 0.6312 0.7602  4 Nd 3.25-3.50, 1 Ho 3.50
11 Nd 0.3603 0.8779 0.9988  4 Ho 3.25-3.50, 1 Nd 3.28, 1 La 3.32
12 Nd 0.1221 0.0012 0.6397  4 Ho 3.25-3.50, 1 Nd 3.28, 1 La 3.32
13 Ho 0.3688 0.2398 0.7770  4 Nd 3.25-3.50, 1 Ho 3.50
14 Ho 0.1159 0.3466 0.4447  3 Nd 3.45-3.81, 6 Ho 3.48-3.79
15 Ho 0.6312 0.7602 0.2230  4 Nd 3.25-3.50, 1 Ho 3.50
16 Ho 0.7602 0.2230 0.6312  4 Nd 3.25-3.50, 1 Ho 3.50
17 Ho 0.8841 0.6534 0.5553  3 Nd 3.45-3.81, 6 Ho 3.48-3.79
18 Ho 0.5553 0.8841 0.6534  3 Nd 3.45-3.81, 6 Ho 3.48-3.79
19 Ho 0.6534 0.5553 0.8841  3 Nd 3.45-3.81, 6 Ho 3.48-3.79
20 Nd 0.8779 0.9988 0.3603  4 Ho 3.25-3.50, 1 Nd 3.28, 1 La 3.32

***

# 7
## LaNd8Ho2 (PBE)

Data for a relaxed structure of LaNd8Ho2.

Values from the calculation:
**DOS(E_F)**: 16.597 states/eV/f.u.
**Relative energy among the computed polymorphs**: 26 meV/atom
**Magnetization**: 0.0 μB per formula unit
**Crystal system**: monoclinic
**Space group**: C2/m, No. 12
**E_form**: 0.13 eV/atom

Unit cell a=5.7024 b=10.4369 c=10.4369 alpha=39.94 beta=93.14 gamma=93.14
With the nearest neighbours (Å) after each atom.
Atoms (fractional coordinates):
1 Nd 0.7604 0.4554 0.4554  2 Nd 3.16-3.53, 1 Ho 3.35
2 Nd 0.2396 0.5446 0.5446  2 Nd 3.16-3.53, 1 Ho 3.35
3 Ho 0.7466 0.2847 0.2847  11 Nd 3.35-3.68
4 Nd 0.7316 0.4032 0.8647  4 Nd 3.29-3.65, 3 Ho 3.52-3.68, 1 La 3.66
5 Nd 0.2684 0.1353 0.5968  4 Nd 3.29-3.65, 3 Ho 3.52-3.68, 1 La 3.66
6 Nd 0.7677 0.8115 0.8115  4 Ho 3.39-3.60, 4 Nd 3.55-3.65
7 Ho 0.2534 0.7153 0.7153  11 Nd 3.35-3.68
8 La 0.0000 0.0000 0.0000  10 Nd 3.66-3.90
9 Nd 0.2323 0.1885 0.1885  4 Ho 3.39-3.60, 4 Nd 3.55-3.65
10 Nd 0.2684 0.5968 0.1353  4 Nd 3.29-3.65, 3 Ho 3.52-3.68, 1 La 3.66
11 Nd 0.7316 0.8647 0.4032  4 Nd 3.29-3.65, 3 Ho 3.52-3.68, 1 La 3.66

***

# 8
## LaNdHo2 (PBE)

Data for a relaxed structure of LaNdHo2.

Values from the calculation:
**DOS(E_F)**: 7.477 states/eV/f.u.
**Relative energy among the computed polymorphs**: 84 meV/atom
**Magnetization**: 0.0 μB per formula unit
**Crystal system**: cubic
**Space group**: Fm-3m, No. 225
**E_form**: 0.10 eV/atom

Unit cell a=5.7664 b=5.7664 c=5.7664 alpha=60.00 beta=60.00 gamma=60.00
With the nearest neighbours (Å) after each atom.
Atoms (fractional coordinates):
1 Ho 0.2500 0.2500 0.2500  4 La 3.53, 4 Nd 3.53
2 La 0.5000 0.5000 0.5000  8 Ho 3.53
3 Ho 0.7500 0.7500 0.7500  4 La 3.53, 4 Nd 3.53
4 Nd 0.0000 0.0000 0.0000  8 Ho 3.53